PBE EuZrAg2, relaxed; DFT formation energy = -0.0793 eV/atom; DOS(E_F) = 7.91 states/eV/f.u.; VASP energy = -6.211 eV per atom; magnetization = 6.7 μB/f.u.
1.0
3.548 0.000 0.000
0.000 3.548 0.000
0.000 0.000 7.522
Eu Zr Ag
1 1 2
Direct
0.500 0.500 0.500
0.500 0.500 0.000
0.000 0.000 0.789
0.000 0.000 0.211